Compound: ReTc2Mo
Source: Alexandria via LeMat-Bulk
Functional: PBE
Structure: optimized geometry

The value obtained for the total energy is -0.3974 hartree per atom. The value obtained for the energy of formation from the pure elements is 0.189 eV per atom.

The structure belongs to space group Fm-3m (No. 225); the cell edges are 6.226, 6.226 and 6.226 Å and the angles 90.00°, 90.00° and 90.00°. Symmetry generates all atoms from Re at (0.000, 0.000, 0.000), Tc at (0.250, 0.250, 0.250) and Mo at (0.000, 0.000, 0.500).